Entry 1:
First-principles (PBE) data for crystalline YCdAgGe2 at its relaxed geometry, as listed in Alexandria via LeMat-Bulk.

Cell: 4.920 4.920 5.564 Å, 90.00 90.00 90.00°
Space group P4/mmm (No. 123)
One atom of each set of equivalent atoms:
Y: 0.000 0.000 0.000 (multiplicity 1)
Cd: 0.500 0.500 0.000 (multiplicity 1)
Ag: 0.000 0.000 0.500 (multiplicity 1)
Ge: 0.000 0.500 0.500 (multiplicity 2)

energy of formation = 37 kJ/mol of atoms
M_tot = 0.000 μB/f.u.
DOS at the Fermi energy = 2.80 states/eV/f.u.

***

Entry 2:
First-principles (PBE) data for crystalline LiRuCl5 at its relaxed geometry, as listed in Alexandria via LeMat-Bulk.

Cell: 9.176 10.033 9.089 Å, 90.00 119.71 90.00°
Space group C2/c (No. 15)
One atom of each set of equivalent atoms:
Li: 0.000 0.140 0.250 (multiplicity 4)
Ru: 0.000 0.500 0.000 (multiplicity 4)
Cl: 0.000 0.422 0.750 (multiplicity 4)
Cl: 0.052 0.273 0.482 (multiplicity 8)
Cl: 0.213 0.039 0.844 (multiplicity 8)

M_tot = 2.002 μB/f.u.
energy relative to the elements, uncorrected = -784 meV/atom
DOS at the Fermi energy = 3.98 states/eV/f.u.

***

Entry 3:
First-principles (PBE) data for crystalline InPtBr2 at its relaxed geometry, as listed in Alexandria via LeMat-Bulk.

Cell: 3.769 6.893 8.867 Å, 90.00 90.00 90.00°
Space group Cmm2 (No. 35)
One atom of each set of equivalent atoms:
In: 0.000 0.000 0.000 (multiplicity 2)
Pt: 0.000 0.500 0.207 (multiplicity 2)
Br: 0.000 0.000 0.403 (multiplicity 2)
Br: 0.000 0.500 0.770 (multiplicity 2)

M_tot = 0.168 μB/f.u.
energy relative to the elements, uncorrected = -102 meV/atom
DOS at the Fermi energy = 4.60 states/eV/f.u.

***

Entry 4:
First-principles (PBE) data for crystalline Li2Ce2HoGe2 at its relaxed geometry, as listed in Alexandria via LeMat-Bulk.

Cell: 4.3836 4.3836 26.2021 Å, 90.00 90.00 120.00°
Space group R-3m (No. 166, hexagonal axes)
One atom of each set of equivalent atoms:
Li: 0.0000 0.0000 0.0959 (multiplicity 6)
Ce: 0.0000 0.0000 0.3590 (multiplicity 6)
Ho: 0.0000 0.0000 0.5000 (multiplicity 3)
Ge: 0.0000 0.0000 0.2333 (multiplicity 6)

energy of formation = -46 kJ/mol of atoms
M_tot = 2.115 μB/f.u.
DOS at the Fermi energy = 9.66 states/eV/f.u.

***

Entry 5:
First-principles (PBE) data for crystalline SrTaW2 at its relaxed geometry, as listed in Alexandria via LeMat-Bulk.

Cell: 9.473 2.779 6.582 Å, 90.00 90.86 90.00°
Space group C2/m (No. 12)
One atom of each set of equivalent atoms:
Sr: 0.000 0.000 0.000 (multiplicity 2)
Ta: 0.000 0.500 0.500 (multiplicity 2)
W: 0.246 0.000 0.683 (multiplicity 4)

energy of formation = 95 kJ/mol of atoms
M_tot = 0.000 μB/f.u.
DOS at the Fermi energy = 3.45 states/eV/f.u.

***

Entry 6:
First-principles (PBE) data for crystalline MgNbC2F at its relaxed geometry, as listed in Alexandria via LeMat-Bulk.

Cell: 4.176 4.176 4.105 Å, 90.00 90.00 90.00°
Space group P4/mmm (No. 123)
One atom of each set of equivalent atoms:
Mg: 0.000 0.000 0.000 (multiplicity 1)
Nb: 0.500 0.500 0.500 (multiplicity 1)
C: 0.000 0.500 0.500 (multiplicity 2)
F: 0.500 0.500 0.000 (multiplicity 1)

M_tot = 0.000 μB/f.u.
energy relative to the elements, uncorrected = 189 meV/atom
DOS at the Fermi energy = 1.55 states/eV/f.u.